The following is a PBE calculation of crystalline PmSm5Al2 at its relaxed geometry, from the Alexandria database.

Output
energy of formation from the pure elements = -0.004 eV/atom
magnetization = 0.0 μB/cell
excess energy over the best structure of this formula in the dataset = 0.071 eV per atom
total energy = -4.48 eV/atom

a = 5.4051 Å, b = 5.4051 Å, c = 19.9708 Å
α = 90.00°, β = 90.00°, γ = 120.00°
Closest atoms and distances in Å follow each position.
Space group P6_3/mmc (No. 194)
Symmetry-distinct sites (fractional):
Pm 0.3333 0.6667 0.2500 [2 per cell]  2 Al 3.02, 3 Sm 3.12
Sm 0.0000 0.0000 0.1553 [4 per cell]  3 Al 3.32, 3 Pm 3.65, 6 Sm 3.65-3.69
Sm 0.3333 0.6667 0.5569 [4 per cell]  4 Al 3.11-3.23
Sm 0.3333 0.6667 0.7500 [2 per cell]  3 Pm 3.12
Al 0.3333 0.6667 0.0987 [4 per cell]  1 Pm 3.02, 7 Sm 3.11-3.32